Entry 1:
Below is Pm8SmEr4 after structural relaxation, with properties calculated at the PBE-GGA level.

## Properties
energy of formation: 0.187 eV/atom

Unit cell a=7.3067 b=7.3067 c=10.3229 alpha=90.00 beta=110.73 gamma=120.00
With the nearest neighbours (Å) after each atom.
Element x y z (fractional)
1 Pm 0.9535 0.7513 0.7048  1 Sm 3.01, 2 Pm 3.30, 1 Er 3.37
2 Pm 0.5026 0.7513 0.7048  1 Sm 3.01, 2 Pm 3.30, 1 Er 3.37
3 Pm 0.9535 0.2023 0.7048  1 Sm 3.01, 2 Pm 3.30, 1 Er 3.37
4 Pm 0.0465 0.7977 0.2952  1 Sm 3.01, 2 Pm 3.30, 1 Er 3.37
5 Pm 0.4974 0.2487 0.2952  1 Sm 3.01, 2 Pm 3.30, 1 Er 3.37
6 Pm 0.4303 0.2151 0.6454  9 Pm 3.70-3.81, 3 Er 3.95
7 Pm 0.0465 0.2487 0.2952  1 Sm 3.01, 2 Pm 3.30, 1 Er 3.37
8 Pm 0.5697 0.7849 0.3546  9 Pm 3.70-3.81, 3 Er 3.95
9 Er 0.5000 0.0000 0.0000  6 Pm 3.56-3.95, 6 Er 3.65
10 Er 0.0000 0.5000 0.0000  6 Pm 3.56-3.95, 6 Er 3.65
11 Er 0.0000 0.0000 0.0000  6 Pm 3.37, 6 Er 3.65
12 Er 0.5000 0.5000 0.0000  6 Pm 3.56-3.95, 6 Er 3.65
13 Sm 0.0000 0.5000 0.5000  6 Pm 3.01

Entry 2:
Below is YFeRe2Mo after structural relaxation, with properties calculated at the PBE-GGA level.

## Properties
energy of formation: 0.880 eV/atom

Unit cell a=4.5527 b=4.4964 c=4.5527 alpha=90.00 beta=90.00 gamma=90.00
With the nearest neighbours (Å) after each atom.
Element x y z (fractional)
1 Y 0.5000 0.5000 0.5000  8 Re 3.20, 4 Mo 3.22
2 Re 0.5000 0.0000 0.0000  2 Fe 2.28
3 Re 0.0000 0.0000 0.5000  2 Fe 2.28
4 Fe 0.0000 0.0000 0.0000  2 Mo 2.25, 4 Re 2.28
5 Mo 0.0000 0.5000 0.0000  2 Fe 2.25

Entry 3:
Below is Li2Ce2Tl3 after structural relaxation, with properties calculated at the PBE-GGA level.

## Properties
energy of formation: -0.159 eV/atom

Unit cell a=4.6357 b=7.6680 c=10.4775 alpha=90.00 beta=102.78 gamma=90.00
With the nearest neighbours (Å) after each atom.
Element x y z (fractional)
1 Ce 0.8421 0.7500 0.6843  6 Tl 3.30-3.36, 6 Li 3.36-3.41
2 Ce 0.9518 0.2500 0.9035  9 Tl 3.32-3.66
3 Ce 0.0482 0.7500 0.0965  9 Tl 3.32-3.66
4 Ce 0.1579 0.2500 0.3157  6 Tl 3.30-3.36, 6 Li 3.36-3.41
5 Tl 0.4309 0.5545 0.8618  1 Li 2.70, 2 Tl 2.95-3.00
6 Tl 0.4309 0.9455 0.8618  1 Li 2.70, 2 Tl 2.95-3.00
7 Tl 0.5691 0.4455 0.1382  1 Li 2.70, 2 Tl 2.95-3.00
8 Tl 0.5691 0.0545 0.1382  1 Li 2.70, 2 Tl 2.95-3.00
9 Tl 0.2228 0.7500 0.4456  6 Li 2.79-2.94
10 Tl 0.7772 0.2500 0.5544  6 Li 2.79-2.94
11 Li 0.6936 0.9378 0.3873  4 Tl 2.70-2.94, 1 Li 2.88
12 Li 0.6936 0.5622 0.3873  4 Tl 2.70-2.94, 1 Li 2.88
13 Li 0.3064 0.0622 0.6127  4 Tl 2.70-2.94, 1 Li 2.88
14 Li 0.3064 0.4378 0.6127  4 Tl 2.70-2.94, 1 Li 2.88

Entry 4:
Below is Mg2AsSe after structural relaxation, with properties calculated at the PBE-GGA level.

## Properties
calculated total energy: -12.79 eV/f.u.

Unit cell a=4.8443 b=4.8443 c=4.8443 alpha=60.00 beta=60.00 gamma=60.00
With the nearest neighbours (Å) after each atom.
Element x y z (fractional)
1 Se 0.5000 0.5000 0.5000  8 Mg 2.97
2 Mg 0.2500 0.2500 0.2500  4 As 2.97, 4 Se 2.97
3 Mg 0.7500 0.7500 0.7500  4 As 2.97, 4 Se 2.97
4 As 0.0000 0.0000 0.0000  8 Mg 2.97

Entry 5:
Below is PmPuSb2 after structural relaxation, with properties calculated at the PBE-GGA level.

## Properties
excess energy over the best structure of this formula in the dataset: 140 meV/atom

Unit cell a=3.3243 b=5.7696 c=5.7696 alpha=90.00 beta=90.00 gamma=90.00
With the nearest neighbours (Å) after each atom.
Element x y z (fractional)
1 Pu 0.5000 0.0000 0.0000  2 Pu 3.32, 8 Sb 3.33
2 Pm 0.5000 0.5000 0.5000  2 Pm 3.32, 8 Sb 3.33
3 Sb 0.0000 0.5000 0.0000  2 Sb 3.32, 4 Pm 3.33, 4 Pu 3.33
4 Sb 0.0000 0.0000 0.5000  2 Sb 3.32, 4 Pm 3.33, 4 Pu 3.33

Entry 6:
Below is Er5Co4Hg after structural relaxation, with properties calculated at the PBE-GGA level.

## Properties
energy of formation: -0.258 eV/atom

Unit cell a=3.3376 b=3.3376 c=17.4681 alpha=90.00 beta=90.00 gamma=90.00
With the nearest neighbours (Å) after each atom.
Element x y z (fractional)
1 Er 0.5000 0.5000 0.5000  8 Co 2.88
2 Er 0.5000 0.5000 0.8756  4 Co 2.84
3 Er 0.5000 0.5000 0.6876  8 Co 2.87-2.91
4 Er 0.5000 0.5000 0.3124  8 Co 2.87-2.91
5 Er 0.5000 0.5000 0.1244  4 Co 2.84
6 Co 0.0000 0.0000 0.5944  8 Er 2.87-2.88
7 Co 0.0000 0.0000 0.2151  8 Er 2.84-2.91
8 Co 0.0000 0.0000 0.7849  8 Er 2.84-2.91
9 Co 0.0000 0.0000 0.4056  8 Er 2.87-2.88
10 Hg 0.0000 0.0000 0.0000  8 Er 3.21, 4 Hg 3.34

Entry 7:
Below is TaV2InGa after structural relaxation, with properties calculated at the PBE-GGA level.

## Properties
energy of formation: 1.218 eV/atom

Unit cell a=4.5388 b=4.6865 c=4.5388 alpha=90.00 beta=90.00 gamma=90.00
With the nearest neighbours (Å) after each atom.
Element x y z (fractional)
1 Ta 0.5000 0.5000 0.5000  4 In 3.21, 8 V 3.26
2 In 0.0000 0.5000 0.0000  2 Ga 2.34
3 V 0.0000 0.0000 0.5000  2 Ga 2.27
4 V 0.5000 0.0000 0.0000  2 Ga 2.27
5 Ga 0.0000 0.0000 0.0000  4 V 2.27, 2 In 2.34

Entry 8:
Below is PaBeO2 after structural relaxation, with properties calculated at the PBE-GGA level.

## Properties
calculated total energy: -31.55 eV/f.u.

Unit cell a=3.2241 b=3.2241 c=6.4697 alpha=75.57 beta=75.57 gamma=60.00
With the nearest neighbours (Å) after each atom.
Element x y z (fractional)
1 O 0.9224 0.9224 0.2327  1 Be 1.44
2 O 0.0776 0.0776 0.7673  1 Be 1.44
3 Pa 0.5000 0.5000 0.5000  6 O 2.49
4 Be 0.0000 0.0000 0.0000  2 O 1.44

Entry 9:
Below is La2NdPd after structural relaxation, with properties calculated at the PBE-GGA level.

## Properties
excess energy over the best structure of this formula in the dataset: 117 meV/atom
energy of formation: -0.295 eV/atom

Unit cell a=3.9898 b=3.9898 c=9.9112 alpha=78.39 beta=78.39 gamma=60.00
With the nearest neighbours (Å) after each atom.
Element x y z (fractional)
1 Nd 0.4997 0.4997 0.5008  6 La 3.74-3.76, 6 Nd 3.99
2 Pd 0.6667 0.6667 0.9999  6 La 2.96
3 La 0.2691 0.2691 0.1926  3 Pd 2.96
4 La 0.0644 0.0644 0.8067  3 Pd 2.96

Entry 10:
Below is Nd2Hg17 after structural relaxation, with properties calculated at the PBE-GGA level.

## Properties
energy of formation: -0.100 eV/atom

Unit cell a=9.3514 b=9.3514 c=9.3514 alpha=56.02 beta=56.02 gamma=56.02
With the nearest neighbours (Å) after each atom.
Element x y z (fractional)
1 Hg 0.0000 0.5000 0.0000  6 Hg 3.18-3.19, 2 Nd 3.41
2 Hg 0.3251 0.6749 0.0000  5 Hg 2.86-3.13
3 Hg 0.3251 0.0000 0.6749  5 Hg 2.86-3.13
4 Hg 0.5000 0.0000 0.0000  6 Hg 3.18-3.19, 2 Nd 3.41
5 Hg 0.1997 0.5688 0.5688  8 Hg 3.13-3.24, 1 Nd 3.35
6 Hg 0.0000 0.3251 0.6749  5 Hg 2.86-3.13
7 Hg 0.8003 0.4312 0.4312  8 Hg 3.13-3.24, 1 Nd 3.35
8 Hg 0.6749 0.3251 0.0000  5 Hg 2.86-3.13
9 Hg 0.5688 0.5688 0.1997  8 Hg 3.13-3.24, 1 Nd 3.35
10 Hg 0.0000 0.6749 0.3251  5 Hg 2.86-3.13
11 Hg 0.4312 0.8003 0.4312  8 Hg 3.13-3.24, 1 Nd 3.35
12 Hg 0.5688 0.1997 0.5688  8 Hg 3.13-3.24, 1 Nd 3.35
13 Hg 0.0852 0.0852 0.0852  9 Hg 3.18-3.49
14 Hg 0.6749 0.0000 0.3251  5 Hg 2.86-3.13
15 Hg 0.0000 0.0000 0.5000  6 Hg 3.18-3.19, 2 Nd 3.41
16 Hg 0.9148 0.9148 0.9148  9 Hg 3.18-3.49
17 Hg 0.4312 0.4312 0.8003  8 Hg 3.13-3.24, 1 Nd 3.35
18 Nd 0.7367 0.7367 0.7367  12 Hg 3.35-3.41
19 Nd 0.2633 0.2633 0.2633  12 Hg 3.35-3.41

Entry 11:
Below is YTaPb2 after structural relaxation, with properties calculated at the PBE-GGA level.

## Properties
energy of formation: 0.270 eV/atom

Unit cell a=5.4640 b=5.4640 c=3.3998 alpha=90.00 beta=90.00 gamma=105.06
With the nearest neighbours (Å) after each atom.
Element x y z (fractional)
1 Ta 0.5000 0.0000 0.5000  8 Pb 3.22, 2 Y 3.32, 2 Ta 3.40
2 Pb 0.0000 0.0000 0.0000  4 Y 3.22, 4 Ta 3.22, 4 Pb 3.32-3.40
3 Pb 0.5000 0.5000 0.0000  4 Ta 3.22, 4 Y 3.22, 4 Pb 3.32-3.40
4 Y 0.0000 0.5000 0.5000  8 Pb 3.22, 2 Ta 3.32, 2 Y 3.40

Entry 12:
Below is ReHgTe2 after structural relaxation, with properties calculated at the PBE-GGA level.

## Properties
excess energy over the best structure of this formula in the dataset: 192 meV/atom

Unit cell a=7.0686 b=7.0686 c=7.0686 alpha=153.90 beta=139.80 gamma=48.56
With the nearest neighbours (Å) after each atom.
Element x y z (fractional)
1 Re 0.2500 0.7500 0.5000  4 Te 2.73, 4 Hg 2.91
2 Te 0.4219 0.4219 0.0000  2 Re 2.73
3 Te 0.0781 0.0781 0.0000  2 Re 2.73
4 Hg 0.7500 0.2500 0.5000  4 Re 2.91, 2 Hg 3.19

Entry 13:
Below is RbSn2HgN after structural relaxation, with properties calculated at the PBE-GGA level.

## Properties
calculated total energy: -12.75 eV/f.u.

Unit cell a=6.1574 b=4.0781 c=6.1574 alpha=90.00 beta=90.00 gamma=90.00
With the nearest neighbours (Å) after each atom.
Element x y z (fractional)
1 Hg 0.0000 0.0000 0.0000  2 N 2.04
2 N 0.0000 0.5000 0.0000  2 Hg 2.04
3 Sn 0.5000 0.0000 0.0000  2 Hg 3.08
4 Sn 0.0000 0.0000 0.5000  2 Hg 3.08
5 Rb 0.5000 0.5000 0.5000  8 Sn 3.69, 2 Rb 4.08

Entry 14:
Below is Ce4PuMg after structural relaxation, with properties calculated at the PBE-GGA level.

## Properties
energy of formation: 0.121 eV/atom

Unit cell a=7.9062 b=5.2832 c=5.2832 alpha=121.82 beta=73.81 gamma=73.81
With the nearest neighbours (Å) after each atom.
Element x y z (fractional)
1 Ce 0.7634 0.8804 0.5309  4 Ce 2.92-3.23, 1 Pu 3.25
2 Ce 0.7634 0.5309 0.8804  4 Ce 2.92-3.23, 1 Pu 3.25
3 Ce 0.2365 0.4691 0.1196  4 Ce 2.92-3.23, 1 Pu 3.25
4 Ce 0.2365 0.1196 0.4691  4 Ce 2.92-3.23, 1 Pu 3.25
5 Pu 0.5000 0.5000 0.5000  2 Mg 3.25, 8 Ce 3.25-3.47
6 Mg 0.0000 0.0000 0.0000  2 Pu 3.25, 12 Ce 3.37-3.41

Entry 15:
Below is Y3OsAu after structural relaxation, with properties calculated at the PBE-GGA level.

## Properties
excess energy over the best structure of this formula in the dataset: 0 meV/atom
energy of formation: -0.054 eV/atom

Unit cell a=5.3268 b=5.3268 c=5.3268 alpha=90.00 beta=90.00 gamma=90.00
With the nearest neighbours (Å) after each atom.
Element x y z (fractional)
1 Os 0.0000 0.0000 0.0000  6 Y 2.66
2 Y 0.5000 0.0000 0.0000  2 Os 2.66
3 Y 0.0000 0.5000 0.0000  2 Os 2.66
4 Y 0.0000 0.0000 0.5000  2 Os 2.66
5 Au 0.5000 0.5000 0.5000  12 Y 3.77

Entry 16:
Below is Na3CeTm3Se8 after structural relaxation, with properties calculated at the PBE-GGA level.

## Properties
calculated total energy: -76.20 eV/f.u.

Unit cell a=8.2190 b=8.2182 c=8.4762 alpha=119.04 beta=90.00 gamma=120.00
With the nearest neighbours (Å) after each atom.
Element x y z (fractional)
1 Se 0.7424 0.4847 0.7267  3 Tm 2.86, 3 Na 3.05
2 Se 0.2435 0.4871 0.7247  2 Tm 2.84, 1 Ce 2.87, 2 Na 3.07
3 Se 0.2576 0.5153 0.2733  3 Tm 2.86, 3 Na 3.05
4 Se 0.7565 0.0184 0.2753  2 Tm 2.84, 1 Ce 2.87, 2 Na 3.07
5 Se 0.7565 0.5129 0.2753  2 Tm 2.84, 1 Ce 2.87, 2 Na 3.07
6 Se 0.7381 0.9816 0.7247  2 Tm 2.84, 1 Ce 2.87, 2 Na 3.07
7 Se 0.2619 0.0184 0.2753  2 Tm 2.84, 1 Ce 2.87, 2 Na 3.07
8 Se 0.2435 0.9816 0.7247  2 Tm 2.84, 1 Ce 2.87, 2 Na 3.07
9 Tm 0.5000 0.0000 0.5000  6 Se 2.84-2.86
10 Tm 0.5000 0.5000 0.5000  6 Se 2.84-2.86
11 Tm 0.0000 0.5000 0.5000  6 Se 2.84-2.86
12 Na 0.0000 0.0000 0.0000  6 Se 3.05-3.07
13 Na 0.5000 0.5000 0.0000  6 Se 3.05-3.07
14 Na 0.0000 0.5000 0.0000  6 Se 3.05-3.07
15 Ce 0.0000 0.0000 0.5000  6 Se 2.87

Entry 17:
Below is NaAlCO2 after structural relaxation, with properties calculated at the PBE-GGA level.

## Properties
calculated total energy: -22.55 eV/f.u.

Unit cell a=4.1602 b=3.5454 c=4.1602 alpha=90.00 beta=90.00 gamma=90.00
With the nearest neighbours (Å) after each atom.
Element x y z (fractional)
1 O 0.5000 0.0000 0.0000  2 C 2.08
2 O 0.0000 0.0000 0.5000  2 C 2.08
3 Na 0.5000 0.5000 0.5000  8 O 2.73, 4 Al 2.94
4 Al 0.0000 0.5000 0.0000  2 C 1.77
5 C 0.0000 0.0000 0.0000  2 Al 1.77

Entry 18:
Below is Sc3TlN after structural relaxation, with properties calculated at the PBE-GGA level.

## Properties
calculated total energy: -33.40 eV/f.u.

Unit cell a=13.6287 b=8.3179 c=8.3179 alpha=109.35 beta=136.36 gamma=43.64
With the nearest neighbours (Å) after each atom.
Element x y z (fractional)
1 Sc 0.0932 0.2415 0.1410  1 N 2.10
2 Sc 0.5932 0.3590 0.2585  1 N 2.10
3 Sc 0.5745 0.0792 0.9149  2 N 2.22-2.25
4 Sc 0.0772 0.9163 0.7399  2 N 2.09-2.30
5 Sc 0.4255 0.9208 0.0851  2 N 2.22-2.25
6 Sc 0.4228 0.2399 0.4163  2 N 2.09-2.30
7 Sc 0.5772 0.7601 0.5837  2 N 2.09-2.30
8 Sc 0.0745 0.5851 0.4208  2 N 2.22-2.25
9 Sc 0.9255 0.4149 0.5792  2 N 2.22-2.25
10 Sc 0.9068 0.7585 0.8590  1 N 2.10
11 Sc 0.9228 0.0837 0.2601  2 N 2.09-2.30
12 Sc 0.4068 0.6410 0.7415  1 N 2.10
13 Tl 0.2500 0.7460 0.2460  8 Sc 3.04-3.19, 3 Tl 3.23-3.25
14 Tl 0.7500 0.2540 0.7540  8 Sc 3.04-3.19, 3 Tl 3.23-3.25
15 Tl 0.7500 0.5916 0.0916  8 Sc 2.97-3.18, 1 Tl 3.25
16 Tl 0.2500 0.4084 0.9084  8 Sc 2.97-3.18, 1 Tl 3.25
17 N 0.8335 0.0013 0.3148  5 Sc 2.09-2.30
18 N 0.3335 0.1852 0.4987  5 Sc 2.09-2.30
19 N 0.1665 0.9987 0.6852  5 Sc 2.09-2.30
20 N 0.6665 0.8148 0.5013  5 Sc 2.09-2.30

Entry 19:
Below is La2CdCu3 after structural relaxation, with properties calculated at the PBE-GGA level.

## Properties
excess energy over the best structure of this formula in the dataset: 0 meV/atom
energy of formation: -0.203 eV/atom

Unit cell a=4.0499 b=4.0799 c=8.8999 alpha=103.25 beta=103.15 gamma=90.00
With the nearest neighbours (Å) after each atom.
Element x y z (fractional)
1 Cd 0.4590 0.9590 0.9179  3 Cu 2.64-2.84
2 Cu 0.5581 0.5581 0.1163  1 Cu 2.49, 2 Cd 2.64
3 Cu 0.7058 0.7058 0.4116  3 Cu 2.48-2.49
4 Cu 0.2903 0.7903 0.5806  2 Cu 2.48
5 La 0.1316 0.1316 0.2631  10 Cu 3.13-3.36
6 La 0.8553 0.3553 0.7105  6 Cu 3.08-3.24, 4 Cd 3.36

Entry 20:
Below is BaScIr2 after structural relaxation, with properties calculated at the PBE-GGA level.

## Properties
excess energy over the best structure of this formula in the dataset: 363 meV/atom
energy of formation: 0.068 eV/atom

Unit cell a=4.9465 b=4.9465 c=4.9465 alpha=60.00 beta=60.00 gamma=60.00
With the nearest neighbours (Å) after each atom.
Element x y z (fractional)
1 Ir 0.2500 0.2500 0.2500  4 Ba 3.03, 4 Sc 3.03
2 Ir 0.7500 0.7500 0.7500  4 Ba 3.03, 4 Sc 3.03
3 Sc 0.0000 0.0000 0.0000  8 Ir 3.03
4 Ba 0.5000 0.5000 0.5000  8 Ir 3.03

Entry 21:
Below is LaErN after structural relaxation, with properties calculated at the PBE-GGA level.

## Properties
excess energy over the best structure of this formula in the dataset: 0 meV/atom

Unit cell a=3.5312 b=3.5312 c=6.4758 alpha=90.00 beta=90.00 gamma=120.00
With the nearest neighbours (Å) after each atom.
Element x y z (fractional)
1 La 0.0000 0.0000 0.1054  3 N 2.62
2 Er 0.3333 0.6667 0.5339  3 N 2.33
3 N 0.6667 0.3333 0.3607  3 Er 2.33

Entry 22:
Below is In2BSe4 after structural relaxation, with properties calculated at the PBE-GGA level.

## Properties
calculated total energy: -24.66 eV/f.u.

Unit cell a=4.4875 b=4.4875 c=8.0086 alpha=73.73 beta=73.73 gamma=90.00
With the nearest neighbours (Å) after each atom.
Element x y z (fractional)
1 Se 0.1701 0.1701 0.6598  1 B 2.50, 1 In 2.74
2 Se 0.5000 0.0000 0.0000  2 B 2.24
3 Se 0.0000 0.5000 0.0000  2 B 2.24
4 Se 0.8299 0.8299 0.3402  1 B 2.50, 1 In 2.74
5 In 0.6437 0.6437 0.7125  1 Se 2.74
6 In 0.3563 0.3563 0.2875  1 Se 2.74
7 B 0.0000 0.0000 0.0000  6 Se 2.24-2.50